Material: CeMoO6
Method: DFT, PBE+U
State: relaxed

POSCAR file:
```
CeMoO6
1.0
5.896 0.000 0.000
2.948 5.106 0.000
2.948 1.702 4.814
O Ce Mo
6 1 1
direct
0.231 0.769 0.769
0.231 0.769 0.231
0.769 0.769 0.231
0.769 0.231 0.769
0.769 0.231 0.231
0.231 0.231 0.769
0.500 0.500 0.500
0.000 0.000 0.000
```

Output
- E_tot (eV per cell) = -56.435
- magnetic moment (μB per formula unit) = 2.02